# 1
A relaxed Co2CuAg crystal, computed with PBE.

Cell lengths 3.781, 3.781, 7.253 Å; angles 90.00, 90.00, 90.00 degrees
Space group I-4m2 (No. 119)
Asymmetric unit:
Co: 0.000 0.000 0.000 [2 per cell]
Co: 0.000 0.500 0.250 [2 per cell]
Cu: 0.000 0.500 0.750 [2 per cell]
Ag: 0.000 0.000 0.500 [2 per cell]

Computed properties:
Size of the total moment   3.35 μB/f.u.
Calculated total energy   -39.56 eV/cell
Distance to the lowest polymorph of the same formula   148 meV per atom



# 2
A relaxed CoCuAg2 crystal, computed with PBE.

Cell lengths 2.713, 4.174, 5.416 Å; angles 90.00, 102.79, 90.00 degrees
Space group Pm (No. 6)
Asymmetric unit:
Co: 0.000 0.000 0.000 [1 per cell]
Cu: 0.288 0.500 0.236 [1 per cell]
Ag: 0.444 0.500 0.767 [1 per cell]
Ag: 0.830 0.000 0.470 [1 per cell]

Computed properties:
Size of the total moment   1.72 μB/f.u.
Calculated total energy   -15.55 eV/cell
Distance to the lowest polymorph of the same formula   97 meV per atom



# 3
A relaxed CoCu2Ag crystal, computed with PBE.

Cell lengths 2.681, 2.681, 7.380 Å; angles 90.00, 90.00, 90.00 degrees
Space group P4/mmm (No. 123)
Asymmetric unit:
Co: 0.000 0.000 0.000 [1 per cell]
Cu: 0.500 0.500 0.225 [2 per cell]
Ag: 0.000 0.000 0.500 [1 per cell]

Computed properties:
Size of the total moment   1.57 μB/f.u.
Calculated total energy   -17.38 eV/cell
Distance to the lowest polymorph of the same formula   0 meV per atom



# 4
A relaxed CoCuAg crystal, computed with PBE.

Cell lengths 2.693, 2.693, 11.379 Å; angles 90.00, 90.00, 90.00 degrees
Space group I4mm (No. 107)
Asymmetric unit:
Co: 0.000 0.000 0.000 [2 per cell]
Cu: 0.000 0.000 0.355 [2 per cell]
Ag: 0.000 0.000 0.677 [2 per cell]

Computed properties:
Size of the total moment   1.76 μB/f.u.
Calculated total energy   -26.38 eV/cell
Distance to the lowest polymorph of the same formula   0 meV per atom



# 5
A relaxed CoCuAg2 crystal, computed with PBE.

Cell lengths 9.231, 2.726, 4.819 Å; angles 90.00, 101.80, 90.00 degrees
Space group Cm (No. 8)
Asymmetric unit:
Co: 0.000 0.000 0.000 [2 per cell]
Cu: 0.272 0.000 0.760 [2 per cell]
Ag: 0.017 0.500 0.520 [2 per cell]
Ag: 0.253 0.500 0.236 [2 per cell]

Computed properties:
Size of the total moment   1.62 μB/f.u.
Calculated total energy   -31.25 eV/cell
Distance to the lowest polymorph of the same formula   79 meV per atom



# 6
A relaxed CoCuAg2 crystal, computed with PBE.

Cell lengths 4.611, 4.611, 2.809 Å; angles 90.00, 90.00, 90.00 degrees
Space group P4/mmm (No. 123)
Asymmetric unit:
Co: 0.000 0.000 0.000 [1 per cell]
Cu: 0.500 0.500 0.000 [1 per cell]
Ag: 0.000 0.500 0.500 [2 per cell]

Computed properties:
Size of the total moment   1.70 μB/f.u.
Calculated total energy   -15.45 eV/cell
Distance to the lowest polymorph of the same formula   123 meV per atom



# 7
A relaxed CoCuAg2 crystal, computed with PBE.

Cell lengths 2.982, 4.482, 9.006 Å; angles 90.00, 90.00, 90.00 degrees
Space group Cmmm (No. 65)
Asymmetric unit:
Co: 0.000 0.000 0.000 [2 per cell]
Cu: 0.000 0.000 0.500 [2 per cell]
Ag: 0.000 0.500 0.250 [4 per cell]

Computed properties:
Size of the total moment   1.64 μB/f.u.
Calculated total energy   -31.04 eV/cell
Distance to the lowest polymorph of the same formula   106 meV per atom



# 8
A relaxed CoCu2Ag crystal, computed with PBE.

Cell lengths 2.709, 4.454, 8.873 Å; angles 90.00, 90.00, 90.00 degrees
Space group Imm2 (No. 44)
Asymmetric unit:
Co: 0.000 0.000 0.000 [2 per cell]
Cu: 0.000 0.000 0.473 [2 per cell]
Cu: 0.000 0.500 0.736 [2 per cell]
Ag: 0.000 0.500 0.235 [2 per cell]

Computed properties:
Size of the total moment   1.53 μB/f.u.
Calculated total energy   -33.89 eV/cell
Distance to the lowest polymorph of the same formula   109 meV per atom



no.,formation energy (kJ/mol of formula units)
1,133.2
2,130.5
3,74.2
4,83.2
5,123.4
6,140.3
7,133.8
8,116.4